{"formula": "LiCoF3", "functional": "PBE with a Hubbard U", "state": "optimized geometry", "spacegroup": "Pm-3m, No. 221", "de_polymorph_mev_per_atom": 510, "m_tot_mub_per_atom": 0.6000, "lattice": [[3.641, 0.000, 0.000], [0.000, 3.641, 0.000], [0.000, 0.000, 3.641]], "species": ["F", "F", "Li", "Co", "F"], "fractional_positions": [[0.500, 0.000, 0.000], [0.000, 0.000, 0.500], [0.000, 0.000, 0.000], [0.500, 0.500, 0.500], [0.000, 0.500, 0.000]]}